No. 1
# CeZnNiIr (PBE, optimized geometry)
data_CeZnNiIr
_chemical_formula_sum 'Ce1 Zn1 Ni1 Ir1'
_cell_length_a 4.604
_cell_length_b 4.604
_cell_length_c 4.604
_cell_angle_alpha 60.00
_cell_angle_beta 60.00
_cell_angle_gamma 60.00
_symmetry_space_group_name_H-M 'P 1'
_symmetry_Int_Tables_number 1
loop_
_symmetry_equiv_pos_as_xyz
'x,y,z'
loop_
_atom_site_label
_atom_site_fract_x
_atom_site_fract_y
_atom_site_fract_z
Ce1 0.750 0.750 0.750
Ir1 0.000 0.000 0.000
Zn1 0.250 0.250 0.250
Ni1 0.500 0.500 0.500
# ΔE_f: -0.336 eV per atom
# theoretical density: 10.98 g/cm³
# energy relative to the lowest polymorph listed for this composition: 10.4 kJ per mole of atoms

---

No. 2
# NdHoGaHg (PBE, optimized geometry)
data_NdHoGaHg
_chemical_formula_sum 'Nd1 Ho1 Ga1 Hg1'
_cell_length_a 5.258
_cell_length_b 5.258
_cell_length_c 5.258
_cell_angle_alpha 60.00
_cell_angle_beta 60.00
_cell_angle_gamma 60.00
_symmetry_space_group_name_H-M 'P 1'
_symmetry_Int_Tables_number 1
loop_
_symmetry_equiv_pos_as_xyz
'x,y,z'
loop_
_atom_site_label
_atom_site_fract_x
_atom_site_fract_y
_atom_site_fract_z
Ga1 0.250 0.250 0.250
Nd1 0.500 0.500 0.500
Ho1 0.000 0.000 0.000
Hg1 0.750 0.750 0.750
# ΔE_f: -0.496 eV per atom
# theoretical density: 9.36 g/cm³
# energy relative to the lowest polymorph listed for this composition: 3.0 kJ per mole of atoms

---

No. 3
# NaSn2Pb2 (PBE, optimized geometry)
data_NaSn2Pb2
_chemical_formula_sum 'Na2 Sn4 Pb4'
_cell_length_a 8.524
_cell_length_b 8.524
_cell_length_c 4.291
_cell_angle_alpha 90.00
_cell_angle_beta 90.00
_cell_angle_gamma 90.00
_symmetry_space_group_name_H-M 'P 1'
_symmetry_Int_Tables_number 1
loop_
_symmetry_equiv_pos_as_xyz
'x,y,z'
loop_
_atom_site_label
_atom_site_fract_x
_atom_site_fract_y
_atom_site_fract_z
Pb1 0.843 0.343 0.500
Pb2 0.343 0.157 0.500
Pb3 0.657 0.843 0.500
Pb4 0.157 0.657 0.500
Na1 0.000 0.000 0.000
Na2 0.500 0.500 0.000
Sn1 0.371 0.871 0.000
Sn2 0.629 0.129 0.000
Sn3 0.871 0.629 0.000
Sn4 0.129 0.371 0.000
# ΔE_f: -0.032 eV per atom
# theoretical density: 7.19 g/cm³
# energy relative to the lowest polymorph listed for this composition: 2.7 kJ per mole of atoms

---

No. 4
# Pu2ZrIn9 (PBE, optimized geometry)
data_Pu2ZrIn9
_chemical_formula_sum 'Pu2 Zr1 In9'
_cell_length_a 4.599
_cell_length_b 4.599
_cell_length_c 13.823
_cell_angle_alpha 90.00
_cell_angle_beta 90.00
_cell_angle_gamma 90.00
_symmetry_space_group_name_H-M 'P 1'
_symmetry_Int_Tables_number 1
loop_
_symmetry_equiv_pos_as_xyz
'x,y,z'
loop_
_atom_site_label
_atom_site_fract_x
_atom_site_fract_y
_atom_site_fract_z
In1 0.500 0.500 0.000
In2 0.000 0.500 0.500
In3 0.500 0.500 0.667
In4 0.000 0.500 0.838
In5 0.500 0.000 0.162
In6 0.500 0.500 0.333
In7 0.500 0.000 0.500
In8 0.000 0.500 0.162
In9 0.500 0.000 0.838
Pu1 0.000 0.000 0.328
Pu2 0.000 0.000 0.672
Zr1 0.000 0.000 0.000
# ΔE_f: -0.227 eV per atom
# theoretical density: 9.16 g/cm³

---

No. 5
# InW3Au (PBE, optimized geometry)
data_InW3Au
_chemical_formula_sum 'In1 W3 Au1'
_cell_length_a 4.869
_cell_length_b 4.869
_cell_length_c 4.869
_cell_angle_alpha 90.00
_cell_angle_beta 90.00
_cell_angle_gamma 90.00
_symmetry_space_group_name_H-M 'P 1'
_symmetry_Int_Tables_number 1
loop_
_symmetry_equiv_pos_as_xyz
'x,y,z'
loop_
_atom_site_label
_atom_site_fract_x
_atom_site_fract_y
_atom_site_fract_z
W1 0.500 0.000 0.000
W2 0.000 0.500 0.000
W3 0.000 0.000 0.500
Au1 0.000 0.000 0.000
In1 0.500 0.500 0.500
# ΔE_f: 2.487 eV per atom
# theoretical density: 12.42 g/cm³
# energy relative to the lowest polymorph listed for this composition: 0.0 kJ per mole of atoms

---

No. 6
# Tl2NiBr (PBE, optimized geometry)
data_Tl2NiBr
_chemical_formula_sum 'Tl2 Ni1 Br1'
_cell_length_a 6.696
_cell_length_b 6.696
_cell_length_c 6.696
_cell_angle_alpha 142.65
_cell_angle_beta 142.65
_cell_angle_gamma 53.85
_symmetry_space_group_name_H-M 'P 1'
_symmetry_Int_Tables_number 1
loop_
_symmetry_equiv_pos_as_xyz
'x,y,z'
loop_
_atom_site_label
_atom_site_fract_x
_atom_site_fract_y
_atom_site_fract_z
Tl1 0.000 0.000 0.000
Tl2 0.250 0.750 0.500
Ni1 0.750 0.250 0.500
Br1 0.500 0.500 0.000
# theoretical density: 8.28 g/cm³
# formation energy (no corrections): 26.1 kJ/mol of atoms
# energy relative to the lowest polymorph listed for this composition: 29.4 kJ per mole of atoms

---

No. 7
# Sr2SmCd12Ag3 (PBE, optimized geometry)
data_Sr2SmCd12Ag3
_chemical_formula_sum 'Sr2 Sm1 Cd12 Ag3'
_cell_length_a 9.541
_cell_length_b 9.541
_cell_length_c 9.541
_cell_angle_alpha 53.85
_cell_angle_beta 53.85
_cell_angle_gamma 53.85
_symmetry_space_group_name_H-M 'P 1'
_symmetry_Int_Tables_number 1
loop_
_symmetry_equiv_pos_as_xyz
'x,y,z'
loop_
_atom_site_label
_atom_site_fract_x
_atom_site_fract_y
_atom_site_fract_z
Sr1 0.407 0.407 0.407
Sr2 0.593 0.593 0.593
Ag1 0.000 0.500 0.000
Ag2 0.000 0.000 0.500
Ag3 0.500 0.000 0.000
Cd1 0.168 0.168 0.526
Cd2 0.832 0.474 0.832
Cd3 0.230 0.852 0.230
Cd4 0.230 0.230 0.852
Cd5 0.770 0.770 0.148
Cd6 0.474 0.832 0.832
Cd7 0.168 0.526 0.168
Cd8 0.852 0.230 0.230
Cd9 0.832 0.832 0.474
Cd10 0.148 0.770 0.770
Cd11 0.770 0.148 0.770
Cd12 0.526 0.168 0.168
Sm1 0.000 0.000 0.000
# ΔE_f: 0.064 eV per atom
# theoretical density: 6.31 g/cm³

---

No. 8
# LiSm3Ho4S8 (PBE, optimized geometry)
data_LiSm3Ho4S8
_chemical_formula_sum 'Li1 Sm3 Ho4 S8'
_cell_length_a 7.849
_cell_length_b 7.859
_cell_length_c 7.850
_cell_angle_alpha 119.96
_cell_angle_beta 120.00
_cell_angle_gamma 90.00
_symmetry_space_group_name_H-M 'P 1'
_symmetry_Int_Tables_number 1
loop_
_symmetry_equiv_pos_as_xyz
'x,y,z'
loop_
_atom_site_label
_atom_site_fract_x
_atom_site_fract_y
_atom_site_fract_z
S1 0.754 0.762 0.508
S2 0.247 0.755 0.495
S3 0.246 0.238 0.492
S4 0.753 0.245 0.992
S5 0.240 0.245 0.992
S6 0.760 0.755 0.008
S7 0.247 0.755 0.008
S8 0.753 0.245 0.505
Ho1 0.000 0.000 0.500
Ho2 0.500 0.000 0.500
Ho3 0.000 0.000 0.000
Ho4 0.500 0.000 0.000
Sm1 0.500 0.500 0.000
Sm2 0.000 0.500 0.500
Sm3 0.500 0.500 0.500
Li1 0.000 0.500 0.000
# theoretical density: 6.66 g/cm³
# formation energy (no corrections): -189.1 kJ/mol of atoms

---

No. 9
# SrTeIr2 (PBE, optimized geometry)
data_SrTeIr2
_chemical_formula_sum 'Sr1 Te1 Ir2'
_cell_length_a 5.252
_cell_length_b 5.252
_cell_length_c 5.252
_cell_angle_alpha 134.60
_cell_angle_beta 124.84
_cell_angle_gamma 74.12
_symmetry_space_group_name_H-M 'P 1'
_symmetry_Int_Tables_number 1
loop_
_symmetry_equiv_pos_as_xyz
'x,y,z'
loop_
_atom_site_label
_atom_site_fract_x
_atom_site_fract_y
_atom_site_fract_z
Ir1 0.524 0.524 0.000
Ir2 0.976 0.976 0.000
Te1 0.750 0.250 0.500
Sr1 0.250 0.750 0.500
# theoretical density: 12.06 g/cm³
# formation energy (no corrections): 25.8 kJ/mol of atoms

---

No. 10
# CaAlGaAu (PBE, optimized geometry)
data_CaAlGaAu
_chemical_formula_sum 'Ca1 Al1 Ga1 Au1'
_cell_length_a 4.835
_cell_length_b 4.835
_cell_length_c 4.835
_cell_angle_alpha 60.00
_cell_angle_beta 60.00
_cell_angle_gamma 60.00
_symmetry_space_group_name_H-M 'P 1'
_symmetry_Int_Tables_number 1
loop_
_symmetry_equiv_pos_as_xyz
'x,y,z'
loop_
_atom_site_label
_atom_site_fract_x
_atom_site_fract_y
_atom_site_fract_z
Ca1 0.500 0.500 0.500
Ga1 0.250 0.250 0.250
Al1 0.000 0.000 0.000
Au1 0.750 0.750 0.750
# ΔE_f: -0.408 eV per atom
# theoretical density: 6.93 g/cm³

---

No. 11
# Zr6NbIn5 (PBE, optimized geometry)
data_Zr6NbIn5
_chemical_formula_sum 'Zr6 Nb1 In5'
_cell_length_a 4.469
_cell_length_b 8.499
_cell_length_c 7.282
_cell_angle_alpha 90.00
_cell_angle_beta 72.13
_cell_angle_gamma 90.00
_symmetry_space_group_name_H-M 'P 1'
_symmetry_Int_Tables_number 1
loop_
_symmetry_equiv_pos_as_xyz
'x,y,z'
loop_
_atom_site_label
_atom_site_fract_x
_atom_site_fract_y
_atom_site_fract_z
Zr1 0.500 0.761 0.000
Zr2 0.835 0.243 0.331
Zr3 0.500 0.239 0.000
Zr4 0.165 0.757 0.669
Zr5 0.835 0.757 0.331
Zr6 0.165 0.243 0.669
In1 0.668 0.500 0.664
In2 0.000 0.500 0.000
In3 0.338 0.000 0.324
In4 0.332 0.500 0.336
In5 0.662 0.000 0.676
Nb1 0.000 0.000 0.000
# ΔE_f: -0.253 eV per atom
# theoretical density: 7.66 g/cm³

---

No. 12
# CuIr2Br (PBE, optimized geometry)
data_CuIr2Br
_chemical_formula_sum 'Cu1 Ir2 Br1'
_cell_length_a 4.631
_cell_length_b 4.631
_cell_length_c 4.631
_cell_angle_alpha 127.45
_cell_angle_beta 127.45
_cell_angle_gamma 77.53
_symmetry_space_group_name_H-M 'P 1'
_symmetry_Int_Tables_number 1
loop_
_symmetry_equiv_pos_as_xyz
'x,y,z'
loop_
_atom_site_label
_atom_site_fract_x
_atom_site_fract_y
_atom_site_fract_z
Ir1 0.500 0.500 0.000
Ir2 0.000 0.000 0.000
Br1 0.750 0.250 0.500
Cu1 0.250 0.750 0.500
# theoretical density: 14.44 g/cm³
# formation energy (no corrections): 97.4 kJ/mol of atoms
# energy relative to the lowest polymorph listed for this composition: 54.0 kJ per mole of atoms

---

No. 13
# HfNb2HIr (PBE, optimized geometry)
data_HfNb2HIr
_chemical_formula_sum 'Hf1 Nb2 H1 Ir1'
_cell_length_a 3.975
_cell_length_b 3.975
_cell_length_c 4.712
_cell_angle_alpha 90.00
_cell_angle_beta 90.00
_cell_angle_gamma 90.00
_symmetry_space_group_name_H-M 'P 1'
_symmetry_Int_Tables_number 1
loop_
_symmetry_equiv_pos_as_xyz
'x,y,z'
loop_
_atom_site_label
_atom_site_fract_x
_atom_site_fract_y
_atom_site_fract_z
Nb1 0.000 0.500 0.000
Nb2 0.500 0.000 0.000
Ir1 0.500 0.500 0.500
Hf1 0.000 0.000 0.500
H1 0.000 0.000 0.000
# theoretical density: 12.44 g/cm³
# energy relative to the lowest polymorph listed for this composition: 0.0 kJ per mole of atoms

---

No. 14
# LaAlOF2 (PBE, optimized geometry)
data_LaAlOF2
_chemical_formula_sum 'La1 Al1 O1 F2'
_cell_length_a 4.757
_cell_length_b 4.757
_cell_length_c 4.600
_cell_angle_alpha 90.00
_cell_angle_beta 90.00
_cell_angle_gamma 90.00
_symmetry_space_group_name_H-M 'P 1'
_symmetry_Int_Tables_number 1
loop_
_symmetry_equiv_pos_as_xyz
'x,y,z'
loop_
_atom_site_label
_atom_site_fract_x
_atom_site_fract_y
_atom_site_fract_z
La1 0.000 0.000 0.000
Al1 0.500 0.500 0.500
F1 0.500 0.000 0.000
F2 0.000 0.500 0.000
O1 0.000 0.000 0.500
# theoretical density: 3.51 g/cm³
# formation energy (no corrections): -240.4 kJ/mol of atoms
# energy relative to the lowest polymorph listed for this composition: 0.0 kJ per mole of atoms

---

No. 15
# Tl2AsF4 (PBE, optimized geometry)
data_Tl2AsF4
_chemical_formula_sum 'Tl2 As1 F4'
_cell_length_a 4.063
_cell_length_b 4.063
_cell_length_c 10.438
_cell_angle_alpha 78.78
_cell_angle_beta 78.78
_cell_angle_gamma 90.00
_symmetry_space_group_name_H-M 'P 1'
_symmetry_Int_Tables_number 1
loop_
_symmetry_equiv_pos_as_xyz
'x,y,z'
loop_
_atom_site_label
_atom_site_fract_x
_atom_site_fract_y
_atom_site_fract_z
Tl1 0.178 0.178 0.645
Tl2 0.822 0.822 0.355
F1 0.000 0.500 0.000
F2 0.700 0.700 0.600
F3 0.500 0.000 0.000
F4 0.300 0.300 0.400
As1 0.000 0.000 0.000
# theoretical density: 5.61 g/cm³
# formation energy (no corrections): -153.6 kJ/mol of atoms

---

No. 16
# ScNb2AlBi (PBE, optimized geometry)
data_ScNb2AlBi
_chemical_formula_sum 'Sc1 Nb2 Al1 Bi1'
_cell_length_a 5.182
_cell_length_b 5.252
_cell_length_c 5.182
_cell_angle_alpha 90.00
_cell_angle_beta 90.00
_cell_angle_gamma 90.00
_symmetry_space_group_name_H-M 'P 1'
_symmetry_Int_Tables_number 1
loop_
_symmetry_equiv_pos_as_xyz
'x,y,z'
loop_
_atom_site_label
_atom_site_fract_x
_atom_site_fract_y
_atom_site_fract_z
Nb1 0.500 0.000 0.000
Nb2 0.000 0.000 0.500
Al1 0.500 0.500 0.500
Sc1 0.000 0.500 0.000
Bi1 0.000 0.000 0.000
# ΔE_f: 1.390 eV per atom
# theoretical density: 5.50 g/cm³

---

No. 17
# ScTiTc2 (PBE, optimized geometry)
data_ScTiTc2
_chemical_formula_sum 'Sc2 Ti2 Tc4'
_cell_length_a 3.144
_cell_length_b 4.471
_cell_length_c 9.466
_cell_angle_alpha 89.99
_cell_angle_beta 99.51
_cell_angle_gamma 90.00
_symmetry_space_group_name_H-M 'P 1'
_symmetry_Int_Tables_number 1
loop_
_symmetry_equiv_pos_as_xyz
'x,y,z'
loop_
_atom_site_label
_atom_site_fract_x
_atom_site_fract_y
_atom_site_fract_z
Sc1 0.322 0.250 0.642
Sc2 0.678 0.750 0.358
Tc1 0.827 0.750 0.653
Tc2 0.944 0.250 0.887
Tc3 0.173 0.250 0.347
Tc4 0.056 0.750 0.113
Ti1 0.558 0.250 0.116
Ti2 0.442 0.750 0.884
# ΔE_f: -0.152 eV per atom
# theoretical density: 7.31 g/cm³

---

No. 18
# LiSe2Cl (PBE, optimized geometry)
data_LiSe2Cl
_chemical_formula_sum 'Li1 Se2 Cl1'
_cell_length_a 9.088
_cell_length_b 4.210
_cell_length_c 4.445
_cell_angle_alpha 64.05
_cell_angle_beta 90.00
_cell_angle_gamma 90.00
_symmetry_space_group_name_H-M 'P 1'
_symmetry_Int_Tables_number 1
loop_
_symmetry_equiv_pos_as_xyz
'x,y,z'
loop_
_atom_site_label
_atom_site_fract_x
_atom_site_fract_y
_atom_site_fract_z
Cl1 0.500 0.250 0.250
Li1 0.500 0.750 0.750
Se1 0.000 0.105 0.036
Se2 0.000 0.395 0.464
# theoretical density: 2.18 g/cm³
# formation energy (no corrections): -56.0 kJ/mol of atoms
# energy relative to the lowest polymorph listed for this composition: 18.1 kJ per mole of atoms

---

No. 19
# KPr2Er3Te6 (PBE, optimized geometry)
data_KPr2Er3Te6
_chemical_formula_sum 'K1 Pr2 Er3 Te6'
_cell_length_a 4.378
_cell_length_b 9.157
_cell_length_c 10.103
_cell_angle_alpha 105.00
_cell_angle_beta 102.52
_cell_angle_gamma 90.00
_symmetry_space_group_name_H-M 'P 1'
_symmetry_Int_Tables_number 1
loop_
_symmetry_equiv_pos_as_xyz
'x,y,z'
loop_
_atom_site_label
_atom_site_fract_x
_atom_site_fract_y
_atom_site_fract_z
Te1 0.001 0.731 0.002
Te2 0.674 0.077 0.349
Te3 0.999 0.269 0.998
Te4 0.660 0.596 0.321
Te5 0.326 0.923 0.651
Te6 0.340 0.404 0.679
Pr1 0.826 0.649 0.653
Pr2 0.174 0.351 0.347
Er1 0.500 0.500 0.000
Er2 0.165 0.827 0.329
Er3 0.835 0.173 0.671
K1 0.500 0.000 0.000
# theoretical density: 6.92 g/cm³
# formation energy (no corrections): -128.8 kJ/mol of atoms

---

No. 20
# CoRh2Cl (PBE, optimized geometry)
data_CoRh2Cl
_chemical_formula_sum 'Co1 Rh2 Cl1'
_cell_length_a 8.240
_cell_length_b 8.240
_cell_length_c 8.240
_cell_angle_alpha 19.90
_cell_angle_beta 19.90
_cell_angle_gamma 19.90
_symmetry_space_group_name_H-M 'P 1'
_symmetry_Int_Tables_number 1
loop_
_symmetry_equiv_pos_as_xyz
'x,y,z'
loop_
_atom_site_label
_atom_site_fract_x
_atom_site_fract_y
_atom_site_fract_z
Cl1 0.492 0.492 0.492
Rh1 0.005 0.005 0.005
Rh2 0.250 0.250 0.250
Co1 0.754 0.754 0.754
# theoretical density: 8.79 g/cm³
# formation energy (no corrections): 28.2 kJ/mol of atoms
# energy relative to the lowest polymorph listed for this composition: 4.3 kJ per mole of atoms

---

Final energy for every record listed, in sequence, given in eV per atom: -5.80 -3.66 -3.38 -5.38 -6.49 -2.78 -1.47 -6.17 -5.37 -3.42 -6.51 -4.86 -8.76 -5.97 -4.00 -5.43 -8.89 -3.26 -4.93 -5.62.